Record 1
# Hf12ZrSb6 (PBE-GGA, relaxed)
data_Hf12ZrSb6
_chemical_formula_sum 'Hf12 Zr1 Sb6'
_cell_length_a 8.331
_cell_length_b 8.331
_cell_length_c 8.331
_cell_angle_alpha 110.63
_cell_angle_beta 110.63
_cell_angle_gamma 110.63
_symmetry_space_group_name_H-M 'P 1'
_symmetry_Int_Tables_number 1
loop_
_symmetry_equiv_pos_as_xyz
'x,y,z'
loop_
_atom_site_label
_atom_site_fract_x
_atom_site_fract_y
_atom_site_fract_z
Hf1 0.035 0.298 0.177
Hf2 0.177 0.035 0.298
Hf3 0.238 0.603 0.674
Hf4 0.298 0.177 0.035
Hf5 0.326 0.762 0.397
Hf6 0.397 0.326 0.762
Hf7 0.603 0.674 0.238
Hf8 0.674 0.238 0.603
Hf9 0.702 0.823 0.965
Hf10 0.762 0.397 0.326
Hf11 0.823 0.965 0.702
Hf12 0.965 0.702 0.823
Zr1 0.500 0.500 0.500
Sb1 0.086 0.863 0.580
Sb2 0.137 0.420 0.914
Sb3 0.420 0.914 0.137
Sb4 0.580 0.086 0.863
Sb5 0.863 0.580 0.086
Sb6 0.914 0.137 0.420
# Symmetry = R-3, No. 148
# Magnetization = 0.000 μB/atom
# ΔE_f (raw) = -268.6 meV/atom
# Calculated total energy = -8.31 eV/atom
# Mass density = 11.583 g/cm3



Record 2
# ScNi (PBE-GGA, relaxed)
data_ScNi
_chemical_formula_sum 'Sc4 Ni4'
_cell_length_a 5.095
_cell_length_b 5.095
_cell_length_c 5.095
_cell_angle_alpha 90.00
_cell_angle_beta 90.00
_cell_angle_gamma 90.00
_symmetry_space_group_name_H-M 'P 1'
_symmetry_Int_Tables_number 1
loop_
_symmetry_equiv_pos_as_xyz
'x,y,z'
loop_
_atom_site_label
_atom_site_fract_x
_atom_site_fract_y
_atom_site_fract_z
Sc1 0.079 0.079 0.079
Sc2 0.421 0.921 0.579
Sc3 0.579 0.421 0.921
Sc4 0.921 0.579 0.421
Ni1 0.085 0.585 0.915
Ni2 0.415 0.415 0.415
Ni3 0.585 0.915 0.085
Ni4 0.915 0.085 0.585
# Symmetry = P2_13, No. 198
# Magnetization = 0.000 μB/atom
# Energy of formation = -0.35 eV/atom
# Calculated total energy = -6.40 eV/atom
# Mass density = 5.204 g/cm3



Record 3
# MgBeReS2 (PBE-GGA, relaxed)
data_MgBeReS2
_chemical_formula_sum 'Mg1 Be1 Re1 S2'
_cell_length_a 4.630
_cell_length_b 4.630
_cell_length_c 4.404
_cell_angle_alpha 90.00
_cell_angle_beta 90.00
_cell_angle_gamma 90.00
_symmetry_space_group_name_H-M 'P 1'
_symmetry_Int_Tables_number 1
loop_
_symmetry_equiv_pos_as_xyz
'x,y,z'
loop_
_atom_site_label
_atom_site_fract_x
_atom_site_fract_y
_atom_site_fract_z
Mg1 0.000 0.000 0.000
Be1 0.500 0.500 0.000
Re1 0.500 0.500 0.500
S1 0.000 0.500 0.500
S2 0.500 0.000 0.500
# Symmetry = P4/mmm, No. 123
# Magnetization = 0.000 μB/atom
# ΔE_f (raw) = 327.6 meV/atom
# Calculated total energy = -4.88 eV/atom
# Mass density = 4.989 g/cm3



Record 4
# Sc3AuO (PBE-GGA, relaxed)
data_Sc3AuO
_chemical_formula_sum 'Sc6 Au2 O2'
_cell_length_a 6.932
_cell_length_b 6.932
_cell_length_c 6.932
_cell_angle_alpha 128.03
_cell_angle_beta 128.03
_cell_angle_gamma 76.57
_symmetry_space_group_name_H-M 'P 1'
_symmetry_Int_Tables_number 1
loop_
_symmetry_equiv_pos_as_xyz
'x,y,z'
loop_
_atom_site_label
_atom_site_fract_x
_atom_site_fract_y
_atom_site_fract_z
Sc1 0.127 0.127 0.000
Sc2 0.362 0.616 0.746
Sc3 0.384 0.129 0.746
Sc4 0.384 0.638 0.254
Sc5 0.871 0.616 0.254
Sc6 0.873 0.873 0.000
Au1 0.615 0.115 0.500
Au2 0.885 0.385 0.500
O1 0.250 0.750 0.500
O2 0.500 0.500 0.000
# Symmetry = I-4m2, No. 119
# Magnetization = 0.000 μB/atom
# ΔE_f (raw) = -1130.2 meV/atom
# Calculated total energy = -6.58 eV/atom
# Mass density = 5.755 g/cm3



Record 5
# Tm3P2Rh7 (PBE-GGA, relaxed)
data_Tm3P2Rh7
_chemical_formula_sum 'Tm3 P2 Rh7'
_cell_length_a 13.258
_cell_length_b 13.258
_cell_length_c 3.989
_cell_angle_alpha 90.00
_cell_angle_beta 90.00
_cell_angle_gamma 162.29
_symmetry_space_group_name_H-M 'P 1'
_symmetry_Int_Tables_number 1
loop_
_symmetry_equiv_pos_as_xyz
'x,y,z'
loop_
_atom_site_label
_atom_site_fract_x
_atom_site_fract_y
_atom_site_fract_z
Tm1 0.000 0.000 0.000
Tm2 0.200 0.800 0.000
Tm3 0.800 0.200 0.000
P1 0.414 0.586 0.500
P2 0.586 0.414 0.500
Rh1 0.123 0.877 0.500
Rh2 0.291 0.709 0.500
Rh3 0.374 0.626 0.000
Rh4 0.500 0.500 0.500
Rh5 0.626 0.374 0.000
Rh6 0.709 0.291 0.500
Rh7 0.877 0.123 0.500
# Symmetry = Cmmm, No. 65
# Magnetization = 0.000 μB/atom
# Energy of formation = -0.79 eV/atom
# Calculated total energy = -7.09 eV/atom
# Mass density = 10.035 g/cm3



Record 6
# Cs3Y2ScS6 (PBE-GGA, relaxed)
data_Cs3Y2ScS6
_chemical_formula_sum 'Cs3 Y2 Sc1 S6'
_cell_length_a 7.001
_cell_length_b 7.001
_cell_length_c 8.366
_cell_angle_alpha 98.02
_cell_angle_beta 98.02
_cell_angle_gamma 119.99
_symmetry_space_group_name_H-M 'P 1'
_symmetry_Int_Tables_number 1
loop_
_symmetry_equiv_pos_as_xyz
'x,y,z'
loop_
_atom_site_label
_atom_site_fract_x
_atom_site_fract_y
_atom_site_fract_z
Cs1 0.000 0.000 0.000
Cs2 0.332 0.668 0.000
Cs3 0.668 0.332 0.000
Y1 0.167 0.833 0.500
Y2 0.833 0.167 0.500
Sc1 0.500 0.500 0.500
S1 0.120 0.440 0.321
S2 0.239 0.239 0.680
S3 0.440 0.120 0.321
S4 0.560 0.880 0.679
S5 0.761 0.761 0.320
S6 0.880 0.560 0.679
# Symmetry = C2/m, No. 12
# Magnetization = 0.000 μB/atom
# ΔE_f (raw) = -1778.9 meV/atom
# Calculated total energy = -5.66 eV/atom
# Mass density = 3.962 g/cm3



Record 7
# Ba2TiVS6 (PBE-GGA, relaxed)
data_Ba2TiVS6
_chemical_formula_sum 'Ba4 Ti2 V2 S12'
_cell_length_a 11.909
_cell_length_b 11.909
_cell_length_c 11.909
_cell_angle_alpha 33.22
_cell_angle_beta 33.22
_cell_angle_gamma 33.22
_symmetry_space_group_name_H-M 'P 1'
_symmetry_Int_Tables_number 1
loop_
_symmetry_equiv_pos_as_xyz
'x,y,z'
loop_
_atom_site_label
_atom_site_fract_x
_atom_site_fract_y
_atom_site_fract_z
Ba1 0.124 0.124 0.124
Ba2 0.291 0.291 0.291
Ba3 0.709 0.709 0.709
Ba4 0.876 0.876 0.876
Ti1 0.000 0.000 0.000
Ti2 0.500 0.500 0.500
V1 0.413 0.413 0.413
V2 0.587 0.587 0.587
S1 0.131 0.619 0.619
S2 0.209 0.209 0.706
S3 0.209 0.706 0.209
S4 0.294 0.791 0.791
S5 0.381 0.381 0.869
S6 0.381 0.869 0.381
S7 0.619 0.131 0.619
S8 0.619 0.619 0.131
S9 0.706 0.209 0.209
S10 0.791 0.294 0.791
S11 0.791 0.791 0.294
S12 0.869 0.381 0.381
# Symmetry = R-3m, No. 166
# Magnetization = 0.082 μB/atom
# Excess energy over the best structure of this formula in the dataset = 3.1 kJ per mole of atoms
# ΔE_f (raw) = -1472.8 meV/atom
# Calculated total energy = -6.04 eV/atom
# Mass density = 4.165 g/cm3



Record 8
# AlAs2Au (PBE-GGA, relaxed)
data_AlAs2Au
_chemical_formula_sum 'Al1 As2 Au1'
_cell_length_a 4.622
_cell_length_b 3.787
_cell_length_c 4.829
_cell_angle_alpha 90.00
_cell_angle_beta 107.13
_cell_angle_gamma 90.00
_symmetry_space_group_name_H-M 'P 1'
_symmetry_Int_Tables_number 1
loop_
_symmetry_equiv_pos_as_xyz
'x,y,z'
loop_
_atom_site_label
_atom_site_fract_x
_atom_site_fract_y
_atom_site_fract_z
Al1 0.000 0.000 0.000
As1 0.285 0.500 0.777
As2 0.715 0.500 0.223
Au1 0.500 0.000 0.500
# Symmetry = P2/m, No. 10
# Magnetization = 0.000 μB/atom
# Energy of formation = -0.03 eV/atom
# Calculated total energy = -4.11 eV/atom
# Mass density = 7.684 g/cm3